# 1
A relaxed Sm3Pu5Te8 crystal, computed with PBE.

Properties
* space-group type: R-3m, No. 166
* total DFT energy (no corrections): -8.154 eV per atom

a b c (Å): 8.8886 8.8886 8.8886
angles (deg): 59.76 59.76 59.76
Fractional coordinates of all 16 atoms:
1 Sm 0.0000 0.5000 0.0000
2 Sm 0.5000 0.0000 0.0000
3 Sm 0.0000 0.0000 0.5000
4 Pu 0.5000 0.5000 0.5000
5 Pu 0.0000 0.0000 0.0000
6 Pu 0.5000 0.0000 0.5000
7 Pu 0.0000 0.5000 0.5000
8 Pu 0.5000 0.5000 0.0000
9 Te 0.2515 0.7500 0.7500
10 Te 0.2500 0.2500 0.7485
11 Te 0.7500 0.2515 0.7500
12 Te 0.2506 0.2506 0.2506
13 Te 0.7485 0.2500 0.2500
14 Te 0.7494 0.7494 0.7494
15 Te 0.2500 0.7485 0.2500
16 Te 0.7500 0.7500 0.2515

# 2
A relaxed Ba2NaAgO4 crystal, computed with PBE.

Properties
* space-group type: I-4, No. 82
* total DFT energy (no corrections): -4.989 eV per atom

a b c (Å): 5.7283 5.7283 5.7283
angles (deg): 104.48 112.02 112.02
Fractional coordinates of all 8 atoms:
1 Ba 0.5000 0.7500 0.2500
2 Ba 0.0000 0.0000 0.0000
3 Ag 0.0000 0.5000 0.5000
4 Na 0.5000 0.2500 0.7500
5 O 0.9382 0.6612 0.2154
6 O 0.0618 0.2772 0.7230
7 O 0.5542 0.2770 0.3388
8 O 0.4458 0.7846 0.7228

# 3
A relaxed LaPm3Nd4 crystal, computed with PBE.

Properties
* energy of formation: 0.03 eV per atom
* space-group type: Pmn2_1, No. 31
* total DFT energy (no corrections): -4.747 eV per atom

a b c (Å): 6.4248 7.4269 11.9268
angles (deg): 90.00 90.00 90.00
Fractional coordinates of all 16 atoms:
1 Pm 0.1489 0.6247 0.7497
2 Pm 0.4798 0.6256 0.0000
3 Pm 0.6489 0.3753 0.2497
4 Pm 0.9798 0.3744 0.5000
5 Pm 0.6489 0.3753 0.7503
6 Pm 0.1489 0.6247 0.2503
7 La 0.9803 0.3759 0.0000
8 La 0.4803 0.6241 0.5000
9 Nd 0.4792 0.1252 0.0000
10 Nd 0.1483 0.1251 0.7488
11 Nd 0.6483 0.8749 0.7512
12 Nd 0.4815 0.1258 0.5000
13 Nd 0.9815 0.8742 0.0000
14 Nd 0.6483 0.8749 0.2488
15 Nd 0.9792 0.8748 0.5000
16 Nd 0.1483 0.1251 0.2512

# 4
A relaxed YZr2IrRu crystal, computed with PBE.

Properties
* energy of formation: 0.31 eV per atom
* space-group type: P4/mmm, No. 123
* total DFT energy (no corrections): -8.026 eV per atom

a b c (Å): 5.0247 4.8899 5.0247
angles (deg): 90.00 90.00 90.00
Fractional coordinates of all 5 atoms:
1 Zr 0.5000 0.0000 0.0000
2 Zr 0.0000 0.0000 0.5000
3 Y 0.5000 0.5000 0.5000
4 Ru 0.0000 0.5000 0.0000
5 Ir 0.0000 0.0000 0.0000

# 5
A relaxed BaCa2LaCo crystal, computed with PBE.

Properties
* energy of formation: 0.03 eV per atom
* space-group type: P4/mmm, No. 123
* total DFT energy (no corrections): -3.560 eV per atom

a b c (Å): 5.8725 5.8725 5.2605
angles (deg): 90.00 90.00 90.00
Fractional coordinates of all 5 atoms:
1 Co 0.0000 0.0000 0.0000
2 Ba 0.5000 0.5000 0.5000
3 Ca 0.5000 0.0000 0.0000
4 Ca 0.0000 0.5000 0.0000
5 La 0.0000 0.0000 0.5000

# 6
A relaxed K2CdHgSb crystal, computed with PBE.

Properties
* space-group type: P4/mmm, No. 123
* total DFT energy (no corrections): -1.675 eV per atom

a b c (Å): 6.7864 6.7864 5.7136
angles (deg): 90.00 90.00 90.00
Fractional coordinates of all 5 atoms:
1 Hg 0.5000 0.5000 0.5000
2 Cd 0.0000 0.0000 0.5000
3 Sb 0.0000 0.0000 0.0000
4 K 0.0000 0.5000 0.0000
5 K 0.5000 0.0000 0.0000

Q: The lowest total DFT energy (no corrections) belongs to which entry?
A: Sm3Pu5Te8

Q: Among the records above, which one has the lowest total DFT energy (no corrections)?
A: Sm3Pu5Te8

Copy entry 5 word for word.
A relaxed BaCa2LaCo crystal, computed with PBE.

Properties
* energy of formation: 0.03 eV per atom
* space-group type: P4/mmm, No. 123
* total DFT energy (no corrections): -3.560 eV per atom

a b c (Å): 5.8725 5.8725 5.2605
angles (deg): 90.00 90.00 90.00
Fractional coordinates of all 5 atoms:
1 Co 0.0000 0.0000 0.0000
2 Ba 0.5000 0.5000 0.5000
3 Ca 0.5000 0.0000 0.0000
4 Ca 0.0000 0.5000 0.0000
5 La 0.0000 0.0000 0.5000